1.
Entry from Alexandria via LeMat-Bulk: a relaxed structure of ScCdPb2 (PBE).

Structure (CIF):
```
data_ScCdPb2
_chemical_formula_sum 'Sc1 Cd1 Pb2'
_cell_length_a 3.453
_cell_length_b 3.453
_cell_length_c 8.939
_cell_angle_alpha 90.00
_cell_angle_beta 90.00
_cell_angle_gamma 90.00
_space_group_name_H-M_alt 'P 4 m m'
_space_group_IT_number 99
_space_group_name_Hall 'P 4 -2'
loop_
_atom_site_label
_atom_site_fract_x
_atom_site_fract_y
_atom_site_fract_z
Sc1 0.000 0.000 0.000
Cd1 0.500 0.500 0.209
Pb1 0.000 0.000 0.461
Pb2 0.500 0.500 0.762
```

2.
# Nd3Tm3Tl2 | Alexandria via LeMat-Bulk | PBE | optimized geometry
data_Nd3Tm3Tl2
_chemical_formula_sum 'Nd3 Tm3 Tl2'
_cell_length_a 4.851
_cell_length_b 4.873
_cell_length_c 9.936
_cell_angle_alpha 90.00
_cell_angle_beta 90.00
_cell_angle_gamma 90.00
_space_group_name_H-M_alt 'P m m m'
_space_group_IT_number 47
_space_group_name_Hall '-P 2 2'
loop_
_atom_site_label
_atom_site_fract_x
_atom_site_fract_y
_atom_site_fract_z
Nd1 0.000 0.000 0.000
Nd2 0.000 0.000 0.500
Nd3 0.500 0.500 0.000
Tm1 0.500 0.000 0.253
Tm2 0.500 0.500 0.500
Tl1 0.000 0.500 0.255
# Distance to the lowest polymorph of the same formula   0.0 meV per atom

3.
# Cd2W | Alexandria via LeMat-Bulk | PBE | optimized geometry
data_Cd2W
_chemical_formula_sum 'Cd2 W1'
_cell_length_a 5.188
_cell_length_b 5.188
_cell_length_c 2.674
_cell_angle_alpha 90.00
_cell_angle_beta 90.00
_cell_angle_gamma 90.00
_space_group_name_H-M_alt 'P 4/m m m'
_space_group_IT_number 123
_space_group_name_Hall '-P 4 2'
loop_
_atom_site_label
_atom_site_fract_x
_atom_site_fract_y
_atom_site_fract_z
Cd1 0.000 0.500 0.000
W1 0.000 0.000 0.500
# Distance to the lowest polymorph of the same formula   256.7 meV per atom

4.
# SrZnPt3 | Alexandria via LeMat-Bulk | PBE | optimized geometry
data_SrZnPt3
_chemical_formula_sum 'Sr1 Zn1 Pt3'
_cell_length_a 5.226
_cell_length_b 5.226
_cell_length_c 5.226
_cell_angle_alpha 90.00
_cell_angle_beta 90.00
_cell_angle_gamma 90.00
_space_group_name_H-M_alt 'P m -3 m'
_space_group_IT_number 221
_space_group_name_Hall '-P 4 2 3'
loop_
_atom_site_label
_atom_site_fract_x
_atom_site_fract_y
_atom_site_fract_z
Sr1 0.000 0.000 0.000
Zn1 0.500 0.500 0.500
Pt1 0.000 0.000 0.500
# Distance to the lowest polymorph of the same formula   1634.2 meV per atom

5.
Entry from Alexandria via LeMat-Bulk: a relaxed structure of Re8Ni (PBE).

Structure (CIF):
```
data_Re8Ni
_chemical_formula_sum 'Re16 Ni2'
_cell_length_a 8.230
_cell_length_b 8.230
_cell_length_c 3.896
_cell_angle_alpha 90.00
_cell_angle_beta 90.00
_cell_angle_gamma 90.00
_space_group_name_H-M_alt 'I 4/m m m'
_space_group_IT_number 139
_space_group_name_Hall '-I 4 2'
loop_
_atom_site_label
_atom_site_fract_x
_atom_site_fract_y
_atom_site_fract_z
Re1 0.000 0.328 0.000
Re2 0.163 0.163 0.500
Ni1 0.000 0.000 0.000
```

6.
# Pu2AlP | Alexandria via LeMat-Bulk | PBE | optimized geometry
data_Pu2AlP
_chemical_formula_sum 'Pu6 Al3 P3'
_cell_length_a 3.7480
_cell_length_b 3.7480
_cell_length_c 24.2410
_cell_angle_alpha 90.00
_cell_angle_beta 90.00
_cell_angle_gamma 120.00
_space_group_name_H-M_alt 'R -3 m'
_space_group_IT_number 166
_space_group_name_Hall '-R 3 2"'
loop_
_atom_site_label
_atom_site_fract_x
_atom_site_fract_y
_atom_site_fract_z
Pu1 0.0000 0.0000 0.2382
Al1 0.0000 0.0000 0.0000
P1 0.0000 0.0000 0.5000
# Distance to the lowest polymorph of the same formula   158.6 meV per atom

The evaluated formation energy for the records listed, in turn: -99; -179; 700; 1483; 78; -359 meV/atom.
The evaluated total magnetization for the records listed, in turn: 0.18; 0.00; 0.00; 0.00; 0.00; 10.96 μB/f.u..
The evaluated total DFT energy (no corrections) for the records listed, in turn: -3.765; -4.235; -4.228; -2.732; -11.630; -9.814 eV/atom.